Record 1
Entry from Alexandria: crystalline Er2PuZr at its relaxed geometry (PBE).

Calculated values
space-group type = P4/mmm, No. 123
formation energy from the elements = 0.5 eV per formula unit
energy above the lowest structure with this stoichiometry = 0.000 eV per atom

a b c (Å): 3.351 3.351 9.796
angles (deg): 90.00 90.00 90.00
Site moments in Bohr magnetons follow the coordinates.
Sites, in units of the cell vectors:
Zr 0.500 0.500 0.000  0.03
Er 0.000 0.000 0.765  0.13
Er 0.000 0.000 0.235  0.13
Pu 0.500 0.500 0.500  5.63

=====

Record 2
Entry from Alexandria: crystalline ErPu2Zr at its relaxed geometry (PBE).

Calculated values
space-group type = P4/mmm, No. 123
formation energy from the elements = 0.6 eV per formula unit
energy above the lowest structure with this stoichiometry = 0.000 eV per atom

a b c (Å): 3.287 3.287 9.674
angles (deg): 90.00 90.00 90.00
Site moments in Bohr magnetons follow the coordinates.
Sites, in units of the cell vectors:
Er 0.500 0.500 0.500  0.31
Zr 0.500 0.500 0.000  -0.04
Pu 0.000 0.000 0.765  5.38
Pu 0.000 0.000 0.235  5.38

=====

Record 3
Entry from Alexandria: crystalline ErPuZr2 at its relaxed geometry (PBE).

Calculated values
space-group type = P4/mmm, No. 123
formation energy from the elements = 0.7 eV per formula unit
energy above the lowest structure with this stoichiometry = 0.037 eV per atom

a b c (Å): 3.799 3.799 6.985
angles (deg): 90.00 90.00 90.00
Site moments in Bohr magnetons follow the coordinates.
Sites, in units of the cell vectors:
Pu 0.500 0.500 0.000  -5.14
Er 0.500 0.500 0.500  0.11
Zr 0.000 0.000 0.217  -0.06
Zr 0.000 0.000 0.783  -0.06

=====

Record 4
Entry from Alexandria: crystalline Rb4Er at its relaxed geometry (PBE).

Calculated values
space-group type = Pm-3m, No. 221
formation energy from the elements = 3.5 eV per formula unit

a b c (Å): 7.764 7.764 7.764
angles (deg): 90.00 90.00 90.00
Site moments in Bohr magnetons follow the coordinates.
Sites, in units of the cell vectors:
Rb 0.500 0.500 0.000  0.03
Rb 0.000 0.000 0.000  0.00
Rb 0.000 0.500 0.500  0.03
Rb 0.500 0.000 0.500  0.03
Er 0.500 0.500 0.500  0.91

=====

Record 5
Entry from Alexandria: crystalline RbEr4S6 at its relaxed geometry (PBE).

Calculated values
space-group type = I-42m, No. 121
energy above the lowest structure with this stoichiometry = 0.316 eV per atom
ΔE_f (raw) = -1.618 eV per atom

a b c (Å): 7.147 7.147 7.147
angles (deg): 97.27 115.90 115.90
Sites, in units of the cell vectors:
Er 0.000 0.203 0.583
Er 0.381 0.797 0.797
Er 0.619 0.417 0.417
Er 0.000 0.583 0.203
S 0.000 0.532 0.833
S 0.700 0.167 0.167
S 0.300 0.468 0.468
S 0.500 0.000 0.500
S 0.000 0.833 0.532
S 0.500 0.500 0.000
Rb 0.000 0.000 0.000

=====

Record 6
Entry from Alexandria: crystalline RbErS4 at its relaxed geometry (PBE).

Calculated values
space-group type = P4/nbm, No. 125
ΔE_f (raw) = -1.204 eV per atom

a b c (Å): 5.929 5.929 8.303
angles (deg): 90.00 90.00 90.00
Sites, in units of the cell vectors:
S 0.874 0.626 0.806
S 0.874 0.374 0.194
S 0.374 0.874 0.806
S 0.374 0.126 0.194
S 0.126 0.374 0.806
S 0.626 0.874 0.194
S 0.126 0.626 0.194
S 0.626 0.126 0.806
Rb 0.000 0.000 0.500
Rb 0.500 0.500 0.500
Er 0.500 0.500 0.000
Er 0.000 0.000 0.000

=====

Record 7
Entry from Alexandria: crystalline RbErS2 at its relaxed geometry (PBE).

Calculated values
space-group type = R-3m, No. 166
ΔE_f (raw) = -1.854 eV per atom

a b c (Å): 8.024 8.024 8.024
angles (deg): 29.21 29.21 29.21
Sites, in units of the cell vectors:
S 0.230 0.230 0.230
S 0.770 0.770 0.770
Rb 0.000 0.000 0.000
Er 0.500 0.500 0.500

=====

Record 8
Entry from Alexandria: crystalline Rb5ErS4 at its relaxed geometry (PBE).

Calculated values
space-group type = C2/m, No. 12
ΔE_f (raw) = -1.175 eV per atom

a b c (Å): 4.494 8.537 10.301
angles (deg): 114.33 102.60 90.00
Sites, in units of the cell vectors:
S 0.000 0.787 0.000
S 0.342 0.843 0.685
S 0.658 0.157 0.315
S 0.000 0.213 0.000
Rb 0.500 0.500 0.000
Rb 0.169 0.917 0.338
Rb 0.831 0.083 0.662
Rb 0.832 0.581 0.663
Rb 0.168 0.419 0.337
Er 0.500 0.000 0.000

=====

> Number 2 is which compound?

ErPu2Zr

=====

> What is the formula in the fifth record?

RbEr4S6

=====

Please write out number 4 again, unchanged.
Entry from Alexandria: crystalline Rb4Er at its relaxed geometry (PBE).

Calculated values
space-group type = Pm-3m, No. 221
formation energy from the elements = 3.5 eV per formula unit

a b c (Å): 7.764 7.764 7.764
angles (deg): 90.00 90.00 90.00
Site moments in Bohr magnetons follow the coordinates.
Sites, in units of the cell vectors:
Rb 0.500 0.500 0.000  0.03
Rb 0.000 0.000 0.000  0.00
Rb 0.000 0.500 0.500  0.03
Rb 0.500 0.000 0.500  0.03
Er 0.500 0.500 0.500  0.91